HoCoRu | PBE-GGA | relaxed Values from VASP.

Computed properties:
- relative energy among the computed polymorphs (kJ/mol of atoms) = 0.0
- SG = Imma, No. 74
- ρ (g/cm³) = 10.9
- formation energy (eV per atom) = -0.28

```
&SYSTEM
  ibrav = 0, nat = 12, ntyp = 3
/
ATOMIC_SPECIES
Ho 164.93 Ho.upf
Co 58.93 Co.upf
Ru 101.07 Ru.upf
ATOMIC_POSITIONS crystal
Ho 0.000 0.250 0.126
Ho 0.000 0.750 0.874
Ho 0.500 0.250 0.374
Ho 0.500 0.750 0.626
Co 0.250 0.250 0.750
Co 0.250 0.750 0.250
Co 0.750 0.250 0.750
Co 0.750 0.750 0.250
Ru 0.000 0.000 0.500
Ru 0.000 0.500 0.500
Ru 0.500 0.000 0.000
Ru 0.500 0.500 0.000
CELL_PARAMETERS angstrom
5.146 0.000 0.000
0.000 5.177 0.000
0.000 0.000 7.412
```